{
  "formula": "MnSN2F",
  "functional": "PBE+U",
  "state": "relaxed",
  "cell": [[-2.200, 1.111, 2.868], [2.575, -1.263, 2.464], [1.693, 3.407, -0.022]],
  "species": ["F", "Mn", "N", "N", "S"],
  "fractional_positions": [[0.000, 0.000, 0.500], [0.000, 0.000, 0.000], [0.000, 0.500, 0.000], [0.500, 0.000, 0.000], [0.500, 0.500, 0.500]],
  "dft_energy_ev_per_atom": -4.85,
  "volume_a3_per_cell": 54.4,
  "dos_at_fermi_per_ev_cell": 2.88
}